[1]
# SrZn4Pd

SrZn4Pd after structural relaxation (GGA-PBE, the Alexandria database).

POSCAR file:
```
SrZn4Pd
1.0
-3.5069 2.6878 -2.3147
-4.3835 -5.4851 0.2719
-0.6406 0.8769 7.3633
Sr Zn Pd
2 8 2
Direct
0.3969 0.7500 0.7938
0.6031 0.2500 0.2062
0.2143 0.4332 0.4287
0.7857 0.5668 0.5713
0.2143 0.0668 0.4287
0.7857 0.9332 0.5713
0.6245 0.7500 0.2490
0.3755 0.2500 0.7510
0.0000 0.5000 0.0000
0.0000 0.0000 0.0000
0.1268 0.7500 0.2537
0.8732 0.2500 0.7463
```

---

[2]
# Sr2Zn3Pd2

Sr2Zn3Pd2 after structural relaxation (GGA-PBE, the Alexandria database).

POSCAR file:
```
Sr2Zn3Pd2
1.0
-2.4028 -2.8378 1.9313
5.4784 -0.0548 2.1900
-4.3947 5.5434 2.6778
Sr Zn Pd
2 3 2
Direct
0.8644 0.7288 0.2363
0.1356 0.2712 0.7637
0.5000 0.0000 0.0000
0.6568 0.3137 0.4340
0.3432 0.6863 0.5660
0.8684 0.7368 0.7980
0.1316 0.2632 0.2020
```

---

Total DFT energy (no corrections) across the listed records, respectively: -27.0; -21.1 eV/cell.